No. 1
A plane-wave DFT calculation with PBE was carried out for an optimized crystal structure of La4AgAsI2.

Structure (POSCAR):
```
La4AgAsI2
1.0
7.9048 0.0000 0.0000
0.0000 4.3673 0.0000
-2.4189 0.0000 7.6050
La Ag As I
4 1 1 2
direct
0.2257 0.0000 0.2132 La
0.2563 0.5000 0.7824 La
0.7437 0.5000 0.2176 La
0.7743 0.0000 0.7868 La
0.5000 0.0000 0.0000 Ag
0.0000 0.5000 0.0000 As
0.0000 0.0000 0.5000 I
0.5000 0.5000 0.5000 I
```

Output
Uncorrected formation energy ... -976.5 meV/atom
SG ... P2/m
N(E_F) ... 6.5 states/eV per cell
M_tot ... 0.0 μB/f.u.

No. 2
A plane-wave DFT calculation with PBE was carried out for an optimized crystal structure of MgAg2AsI.

Structure (POSCAR):
```
MgAg2AsI
1.0
5.3776 0.0000 0.0000
0.0000 5.3776 0.0000
0.0000 0.0000 4.8239
Mg Ag As I
1 2 1 1
direct
0.0000 0.0000 0.0000 Mg
0.0000 0.5000 0.0000 Ag
0.5000 0.0000 0.0000 Ag
0.0000 0.0000 0.5000 As
0.5000 0.5000 0.5000 I
```

Output
Uncorrected formation energy ... 554.0 meV/atom
SG ... P4/mmm
N(E_F) ... 2.5 states/eV per cell
M_tot ... 0.0 μB/f.u.

No. 3
A plane-wave DFT calculation with PBE was carried out for an optimized crystal structure of AgAsIN2.

Structure (POSCAR):
```
AgAsIN2
1.0
4.1188 0.0000 0.0000
0.0000 4.1188 0.0000
0.0000 0.0000 7.4019
Ag As I N
1 1 1 2
direct
0.0000 0.0000 0.0000 Ag
0.5000 0.5000 0.5000 As
0.0000 0.0000 0.5000 I
0.0000 0.5000 0.0000 N
0.5000 0.0000 0.0000 N
```

Output
Uncorrected formation energy ... 1889.5 meV/atom
SG ... P4/mmm
N(E_F) ... 2.9 states/eV per cell
M_tot ... 3.6 μB/f.u.
Energy relative to the lowest polymorph listed for this composition ... 662 meV per atom

No. 4
A plane-wave DFT calculation with PBE was carried out for an optimized crystal structure of AgAsIN2.

Structure (POSCAR):
```
AgAsIN2
1.0
3.8539 0.0000 0.0000
0.0000 3.8539 0.0000
0.0000 0.0000 7.4508
Ag As I N
1 1 1 2
direct
0.0000 0.0000 0.0000 Ag
0.5000 0.5000 0.5000 As
0.5000 0.5000 0.0000 I
0.0000 0.5000 0.5000 N
0.5000 0.0000 0.5000 N
```

Output
Uncorrected formation energy ... 1228.0 meV/atom
SG ... P4/mmm
N(E_F) ... 1.2 states/eV per cell
M_tot ... 0.6 μB/f.u.
Energy relative to the lowest polymorph listed for this composition ... 0 meV per atom